1.
The following is a GGA-PBEsol calculation of CaTiPd3 after structural relaxation, from Alexandria.

Cell: 4.6731 4.6731 4.6731 Å, 90.00 90.00 90.00°
Closest atoms and distances in Å follow each position.
Fractional coordinates of all 5 atoms:
Ca (0.0000, 0.0000, 0.0000)  12 Pd 3.30
Ti (0.5000, 0.5000, 0.5000)  6 Pd 2.34
Pd (0.0000, 0.5000, 0.5000)  2 Ti 2.34
Pd (0.5000, 0.0000, 0.5000)  2 Ti 2.34
Pd (0.5000, 0.5000, 0.0000)  2 Ti 2.34

DFT total energy, eV/atom: -5.733
Size of the total moment, μB/atom: 0.00
Crystal system: cubic
Energy of formation, meV/atom: -66.5


2.
The following is a GGA-PBEsol calculation of Ca2TlPd after structural relaxation, from Alexandria.

Cell: 7.2656 7.2656 7.2656 Å, 90.00 90.00 90.00°
Closest atoms and distances in Å follow each position.
Fractional coordinates of all 16 atoms:
Ca (0.2500, 0.2500, 0.2500)  4 Pd 3.15, 4 Tl 3.15
Ca (0.2500, 0.2500, 0.7500)  4 Tl 3.15, 4 Pd 3.15
Ca (0.2500, 0.7500, 0.2500)  4 Tl 3.15, 4 Pd 3.15
Ca (0.2500, 0.7500, 0.7500)  4 Tl 3.15, 4 Pd 3.15
Ca (0.7500, 0.2500, 0.2500)  4 Tl 3.15, 4 Pd 3.15
Ca (0.7500, 0.2500, 0.7500)  4 Tl 3.15, 4 Pd 3.15
Ca (0.7500, 0.7500, 0.2500)  4 Tl 3.15, 4 Pd 3.15
Ca (0.7500, 0.7500, 0.7500)  4 Tl 3.15, 4 Pd 3.15
Tl (0.0000, 0.0000, 0.0000)  8 Ca 3.15
Tl (0.0000, 0.5000, 0.5000)  8 Ca 3.15
Tl (0.5000, 0.0000, 0.5000)  8 Ca 3.15
Tl (0.5000, 0.5000, 0.0000)  8 Ca 3.15
Pd (0.0000, 0.0000, 0.5000)  8 Ca 3.15
Pd (0.0000, 0.5000, 0.0000)  8 Ca 3.15
Pd (0.5000, 0.0000, 0.0000)  8 Ca 3.15
Pd (0.5000, 0.5000, 0.5000)  8 Ca 3.15

DFT total energy, eV/atom: -3.688
Size of the total moment, μB/atom: 0.00
Crystal system: cubic
Energy of formation, meV/atom: -474.3


3.
The following is a GGA-PBEsol calculation of CaTl2Pd2 after structural relaxation, from Alexandria.

Cell: 4.1379 4.1379 12.9083 Å, 90.00 90.00 90.00°
Closest atoms and distances in Å follow each position.
Fractional coordinates of all 10 atoms:
Ca (0.0000, 0.0000, 0.0000)  8 Tl 3.29
Ca (0.5000, 0.5000, 0.5000)  8 Tl 3.29
Tl (0.0000, 0.0000, 0.3842)  4 Pd 2.70, 1 Tl 2.99
Tl (0.0000, 0.0000, 0.6158)  4 Pd 2.70, 1 Tl 2.99
Tl (0.5000, 0.5000, 0.1158)  4 Pd 2.70, 1 Tl 2.99
Tl (0.5000, 0.5000, 0.8842)  4 Pd 2.70, 1 Tl 2.99
Pd (0.0000, 0.5000, 0.2500)  4 Tl 2.70, 4 Pd 2.93
Pd (0.0000, 0.5000, 0.7500)  4 Tl 2.70, 4 Pd 2.93
Pd (0.5000, 0.0000, 0.2500)  4 Tl 2.70, 4 Pd 2.93
Pd (0.5000, 0.0000, 0.7500)  4 Tl 2.70, 4 Pd 2.93

DFT total energy, eV/atom: -4.173
Size of the total moment, μB/atom: 0.00
Crystal system: tetragonal
Energy of formation, meV/atom: -311.0


4.
The following is a GGA-PBEsol calculation of CaTl2Pd2 after structural relaxation, from Alexandria.

Cell: 7.5934 7.5934 3.5648 Å, 90.00 90.00 90.00°
Closest atoms and distances in Å follow each position.
Fractional coordinates of all 10 atoms:
Ca (0.0000, 0.0000, 0.0000)  4 Pd 2.96
Ca (0.5000, 0.5000, 0.0000)  4 Pd 2.96
Tl (0.1612, 0.3388, 0.5000)  6 Pd 2.83-2.87
Tl (0.3388, 0.8388, 0.5000)  6 Pd 2.83-2.87
Tl (0.6612, 0.1612, 0.5000)  6 Pd 2.83-2.87
Tl (0.8388, 0.6612, 0.5000)  6 Pd 2.83-2.87
Pd (0.1342, 0.6342, 0.0000)  6 Tl 2.83-2.87, 1 Pd 2.88, 2 Ca 2.96
Pd (0.3658, 0.1342, 0.0000)  6 Tl 2.83-2.87, 1 Pd 2.88, 2 Ca 2.96
Pd (0.6342, 0.8658, 0.0000)  6 Tl 2.83-2.87, 1 Pd 2.88, 2 Ca 2.96
Pd (0.8658, 0.3658, 0.0000)  6 Tl 2.83-2.87, 1 Pd 2.88, 2 Ca 2.96

DFT total energy, eV/atom: -4.220
Size of the total moment, μB/atom: 0.00
Crystal system: tetragonal
Energy of formation, meV/atom: -357.5


5.
The following is a GGA-PBEsol calculation of CaTl3Pd after structural relaxation, from Alexandria.

Cell: 5.2373 5.2373 5.2373 Å, 90.00 90.00 90.00°
Closest atoms and distances in Å follow each position.
Fractional coordinates of all 5 atoms:
Ca (0.0000, 0.0000, 0.0000)  12 Tl 3.70
Tl (0.0000, 0.5000, 0.5000)  2 Pd 2.62
Tl (0.5000, 0.0000, 0.5000)  2 Pd 2.62
Tl (0.5000, 0.5000, 0.0000)  2 Pd 2.62
Pd (0.5000, 0.5000, 0.5000)  6 Tl 2.62

DFT total energy, eV/atom: -3.278
Size of the total moment, μB/atom: 0.00
Crystal system: cubic
Energy of formation, meV/atom: -81.5


6.
The following is a GGA-PBEsol calculation of CaTlPd2 after structural relaxation, from Alexandria.

Cell: 6.7064 6.7064 6.7064 Å, 90.00 90.00 90.00°
Closest atoms and distances in Å follow each position.
Fractional coordinates of all 16 atoms:
Ca (0.0000, 0.0000, 0.0000)  8 Pd 2.90
Ca (0.0000, 0.5000, 0.5000)  8 Pd 2.90
Ca (0.5000, 0.0000, 0.5000)  8 Pd 2.90
Ca (0.5000, 0.5000, 0.0000)  8 Pd 2.90
Tl (0.0000, 0.0000, 0.5000)  8 Pd 2.90
Tl (0.0000, 0.5000, 0.0000)  8 Pd 2.90
Tl (0.5000, 0.0000, 0.0000)  8 Pd 2.90
Tl (0.5000, 0.5000, 0.5000)  8 Pd 2.90
Pd (0.2500, 0.2500, 0.2500)  4 Tl 2.90, 4 Ca 2.90
Pd (0.2500, 0.2500, 0.7500)  4 Tl 2.90, 4 Ca 2.90
Pd (0.2500, 0.7500, 0.2500)  4 Tl 2.90, 4 Ca 2.90
Pd (0.2500, 0.7500, 0.7500)  4 Tl 2.90, 4 Ca 2.90
Pd (0.7500, 0.2500, 0.2500)  4 Tl 2.90, 4 Ca 2.90
Pd (0.7500, 0.2500, 0.7500)  4 Tl 2.90, 4 Ca 2.90
Pd (0.7500, 0.7500, 0.2500)  4 Tl 2.90, 4 Ca 2.90
Pd (0.7500, 0.7500, 0.7500)  4 Tl 2.90, 4 Ca 2.90

DFT total energy, eV/atom: -4.665
Size of the total moment, μB/atom: 0.00
Crystal system: cubic
Energy of formation, meV/atom: -495.3


7.
The following is a GGA-PBEsol calculation of CaY2Pd2 after structural relaxation, from Alexandria.

Cell: 7.8488 7.8488 3.7990 Å, 90.00 90.00 90.00°
Closest atoms and distances in Å follow each position.
Fractional coordinates of all 10 atoms:
Ca (0.0000, 0.0000, 0.0000)  4 Pd 3.07
Ca (0.5000, 0.5000, 0.0000)  4 Pd 3.07
Y (0.1586, 0.3414, 0.5000)  6 Pd 2.98-3.00
Y (0.3414, 0.8414, 0.5000)  6 Pd 2.98-3.00
Y (0.6586, 0.1586, 0.5000)  6 Pd 2.98-3.00
Y (0.8414, 0.6586, 0.5000)  6 Pd 2.98-3.00
Pd (0.1322, 0.6322, 0.0000)  1 Pd 2.93, 6 Y 2.98-3.00, 2 Ca 3.07
Pd (0.3678, 0.1322, 0.0000)  1 Pd 2.93, 6 Y 2.98-3.00, 2 Ca 3.07
Pd (0.6322, 0.8678, 0.0000)  1 Pd 2.93, 6 Y 2.98-3.00, 2 Ca 3.07
Pd (0.8678, 0.3678, 0.0000)  1 Pd 2.93, 6 Y 2.98-3.00, 2 Ca 3.07

DFT total energy, eV/atom: -6.217
Size of the total moment, μB/atom: 0.00
Crystal system: tetragonal
Energy of formation, meV/atom: -678.0


8.
The following is a GGA-PBEsol calculation of CaZn2Pd2 after structural relaxation, from Alexandria.

Cell: 4.0022 4.0022 11.3491 Å, 90.00 90.00 90.00°
Closest atoms and distances in Å follow each position.
Fractional coordinates of all 10 atoms:
Ca (0.0000, 0.0000, 0.0000)  8 Pd 3.11, 8 Zn 3.47
Ca (0.5000, 0.5000, 0.5000)  8 Pd 3.11, 8 Zn 3.47
Zn (0.0000, 0.5000, 0.2500)  4 Pd 2.52
Zn (0.0000, 0.5000, 0.7500)  4 Pd 2.52
Zn (0.5000, 0.0000, 0.2500)  4 Pd 2.52
Zn (0.5000, 0.0000, 0.7500)  4 Pd 2.52
Pd (0.0000, 0.0000, 0.3854)  4 Zn 2.52, 1 Pd 2.60
Pd (0.0000, 0.0000, 0.6146)  4 Zn 2.52, 1 Pd 2.60
Pd (0.5000, 0.5000, 0.1146)  4 Zn 2.52, 1 Pd 2.60
Pd (0.5000, 0.5000, 0.8854)  4 Zn 2.52, 1 Pd 2.60

DFT total energy, eV/atom: -3.949
Size of the total moment, μB/atom: 0.00
Crystal system: tetragonal
Energy of formation, meV/atom: -505.7